[1]
## Rb3Na7Hg4 (PBE)

Data for a geometry-optimized Rb3Na7Hg4 structure. Values from VASP.

Geometry as Quantum ESPRESSO input:
```
&SYSTEM
  ibrav = 0, nat = 14, ntyp = 3
/
ATOMIC_SPECIES
Na 22.99 Na.upf
Rb 85.47 Rb.upf
Hg 200.59 Hg.upf
CELL_PARAMETERS angstrom
5.0609 0.0000 1.2767
1.8909 9.5647 3.1734
-0.0528 -0.2220 10.8782
ATOMIC_POSITIONS crystal
Na 0.1658 0.5949 0.0736
Na 0.4889 0.2321 0.7902
Na 0.3175 0.8495 0.5156
Na 0.0000 0.0000 0.0000
Na 0.8342 0.4051 0.9264
Na 0.6825 0.1505 0.4844
Na 0.5111 0.7679 0.2098
Rb 0.0000 0.5000 0.5000
Rb 0.6924 0.8203 0.7949
Rb 0.3076 0.1797 0.2051
Hg 0.1093 0.1016 0.6797
Hg 0.8907 0.8984 0.3203
Hg 0.6623 0.4372 0.2382
Hg 0.3377 0.5628 0.7618
```

Summary:
As for the theoretical density: 3.820 g/cm³. The value obtained for the formation energy is -14 kJ/mol of atoms. The calculated total energy comes out at -15.4 eV per cell. The crystal system is monoclinic. The calculation puts the density of states at the Fermi level at 0.42 states/eV per atom. Its symmetry is C2/m (12).



[2]
## Li3Er3PuS8 (PBE)

Data for a geometry-optimized Li3Er3PuS8 structure. Values from VASP.

Geometry as Quantum ESPRESSO input:
```
&SYSTEM
  ibrav = 0, nat = 15, ntyp = 4
/
ATOMIC_SPECIES
S 32.06 S.upf
Er 167.26 Er.upf
Li 6.94 Li.upf
Pu 244.00 Pu.upf
CELL_PARAMETERS angstrom
7.8125 0.0000 -0.0004
-3.9062 6.7656 -0.0231
-0.0003 -4.4902 6.1767
ATOMIC_POSITIONS crystal
S 0.7527 0.9976 0.7425
S 0.7551 0.0024 0.2575
S 0.2450 0.4899 0.7425
S 0.2473 0.0024 0.2575
S 0.7493 0.4985 0.7477
S 0.7550 0.5101 0.2575
S 0.2449 0.9976 0.7425
S 0.2507 0.5015 0.2523
Er 0.5000 0.5000 0.5000
Er 0.5000 0.0000 0.5000
Er 0.0000 0.5000 0.5000
Li 0.5000 0.5000 0.0000
Li 0.0000 0.5000 0.0000
Li 0.0000 0.0000 0.0000
Pu 0.0000 0.0000 0.5000
```

Summary:
As for the theoretical density: 5.217 g/cm³. The calculated total energy comes out at -92.8 eV per cell. For the uncorrected formation energy, the calculation gives -1.74 eV/atom. The crystal system is trigonal. The calculation puts the density of states at the Fermi level at 0.73 states/eV per atom. Its symmetry is R-3m (166).



[3]
## DyErInRh (PBE)

Data for a geometry-optimized DyErInRh structure. Values from VASP.

Geometry as Quantum ESPRESSO input:
```
&SYSTEM
  ibrav = 0, nat = 4, ntyp = 4
/
ATOMIC_SPECIES
Rh 102.91 Rh.upf
In 114.82 In.upf
Dy 162.50 Dy.upf
Er 167.26 Er.upf
CELL_PARAMETERS angstrom
5.0731 0.0000 0.0000
2.5366 4.3935 0.0000
2.5366 1.4645 4.1422
ATOMIC_POSITIONS crystal
Rh 0.7500 0.7500 0.7500
In 0.2500 0.2500 0.2500
Dy 0.5000 0.5000 0.5000
Er 0.0000 0.0000 0.0000
```

Summary:
As for the theoretical density: 9.847 g/cm³. The value obtained for the formation energy is -55 kJ/mol of atoms. The calculated total energy comes out at -21.6 eV per cell. The calculation puts the distance to the lowest polymorph of the same formula at 120 meV per atom. The crystal system is cubic. The calculation puts the density of states at the Fermi level at 0.48 states/eV per atom. Its symmetry is F-43m (216).



[4]
## NaAc2Bi (PBE)

Data for a geometry-optimized NaAc2Bi structure. Values from VASP.

Geometry as Quantum ESPRESSO input:
```
&SYSTEM
  ibrav = 0, nat = 4, ntyp = 3
/
ATOMIC_SPECIES
Ac 227.00 Ac.upf
Na 22.99 Na.upf
Bi 208.98 Bi.upf
CELL_PARAMETERS angstrom
-4.3178 -0.7408 -0.2614
-1.6463 -3.8586 1.2887
-3.4230 2.8486 11.6292
ATOMIC_POSITIONS crystal
Ac 0.1078 0.1078 0.6766
Ac 0.8922 0.8922 0.3234
Na 0.0000 0.0000 0.0000
Bi 0.5000 0.5000 0.5000
```

Summary:
As for the theoretical density: 5.601 g/cm³. The value obtained for the formation energy is -12 kJ/mol of atoms. The calculated total energy comes out at -13.9 eV per cell. The calculation puts the distance to the lowest polymorph of the same formula at 222 meV per atom. The crystal system is trigonal. The calculation puts the density of states at the Fermi level at 0.84 states/eV per atom. Its symmetry is R-3m (166).



[5]
## ErSc3C (PBE)

Data for a geometry-optimized ErSc3C structure. Values from VASP.

Geometry as Quantum ESPRESSO input:
```
&SYSTEM
  ibrav = 0, nat = 5, ntyp = 3
/
ATOMIC_SPECIES
Er 167.26 Er.upf
Sc 44.96 Sc.upf
C 12.01 C.upf
CELL_PARAMETERS angstrom
4.7031 0.0000 0.0000
0.0000 4.7031 0.0000
0.0000 0.0000 4.7031
ATOMIC_POSITIONS crystal
Er 0.5000 0.5000 0.5000
Sc 0.5000 0.0000 0.0000
Sc 0.0000 0.0000 0.5000
Sc 0.0000 0.5000 0.0000
C 0.0000 0.0000 0.0000
```

Summary:
As for the theoretical density: 5.014 g/cm³. The value obtained for the formation energy is -9 kJ/mol of atoms. The calculated total energy comes out at -33.3 eV per cell. The crystal system is cubic. The calculation puts the density of states at the Fermi level at 1.27 states/eV per atom. Its symmetry is Pm-3m (221).



[6]
## FeCuTcGe (PBE)

Data for a geometry-optimized FeCuTcGe structure. Values from VASP.

Geometry as Quantum ESPRESSO input:
```
&SYSTEM
  ibrav = 0, nat = 4, ntyp = 4
/
ATOMIC_SPECIES
Cu 63.55 Cu.upf
Ge 72.64 Ge.upf
Tc 98.00 Tc.upf
Fe 55.84 Fe.upf
CELL_PARAMETERS angstrom
4.2228 0.0000 0.0000
2.1114 3.6570 0.0000
2.1114 1.2190 3.4479
ATOMIC_POSITIONS crystal
Cu 0.5000 0.5000 0.5000
Ge 0.2500 0.2500 0.2500
Tc 0.0000 0.0000 0.0000
Fe 0.7500 0.7500 0.7500
```

Summary:
As for the theoretical density: 9.045 g/cm³. The value obtained for the formation energy is 10 kJ/mol of atoms. The calculated total energy comes out at -27.1 eV per cell. The crystal system is cubic. The calculation puts the density of states at the Fermi level at 1.10 states/eV per atom. Its symmetry is F-43m (216).



[7]
## IrClO2 (PBE)

Data for a geometry-optimized IrClO2 structure. Values from VASP.

Geometry as Quantum ESPRESSO input:
```
&SYSTEM
  ibrav = 0, nat = 4, ntyp = 3
/
ATOMIC_SPECIES
Cl 35.45 Cl.upf
O 16.00 O.upf
Ir 192.22 Ir.upf
CELL_PARAMETERS angstrom
10.6092 0.0349 0.0204
10.1842 2.9731 0.0204
10.1842 1.4732 2.5825
ATOMIC_POSITIONS crystal
Cl 0.5000 0.5000 0.5000
O 0.0550 0.0550 0.0550
O 0.9450 0.9450 0.9450
Ir 0.0000 0.0000 0.0000
```

Summary:
As for the theoretical density: 5.396 g/cm³. The calculated total energy comes out at -20.1 eV per cell. The calculation puts the distance to the lowest polymorph of the same formula at 286 meV per atom. For the uncorrected formation energy, the calculation gives 0.14 eV/atom. The crystal system is trigonal. The calculation puts the density of states at the Fermi level at 0.43 states/eV per atom. Its symmetry is R-3m (166).



[8]
## PrZnAu11 (PBE)

Data for a geometry-optimized PrZnAu11 structure. Values from VASP.

Geometry as Quantum ESPRESSO input:
```
&SYSTEM
  ibrav = 0, nat = 13, ntyp = 3
/
ATOMIC_SPECIES
Au 196.97 Au.upf
Pr 140.91 Pr.upf
Zn 65.41 Zn.upf
CELL_PARAMETERS angstrom
-4.7357 -2.0834 -2.0015
1.1893 -6.2220 -3.5064
-3.2909 -4.4460 4.7270
ATOMIC_POSITIONS crystal
Au 0.3428 0.6501 0.6577
Au 0.4872 0.7808 0.2108
Au 0.6572 0.3499 0.3423
Au 0.6980 0.7808 0.7892
Au 0.0005 0.6501 0.3423
Au 0.3020 0.2192 0.2108
Au 0.9995 0.3499 0.6577
Au 0.5000 0.0000 0.5000
Au 0.0000 0.0000 0.5000
Au 0.5128 0.2192 0.7892
Au 0.0000 0.5000 0.0000
Pr 0.0000 0.0000 0.0000
Zn 0.5000 0.5000 0.0000
```

Summary:
As for the theoretical density: 15.615 g/cm³. The value obtained for the formation energy is -23 kJ/mol of atoms. The calculated total energy comes out at -45.2 eV per cell. The crystal system is monoclinic. The calculation puts the density of states at the Fermi level at 0.33 states/eV per atom. Its symmetry is C2/m (12).



[9]
## AlAg6Au8 (PBE)

Data for a geometry-optimized AlAg6Au8 structure. Values from VASP.

Geometry as Quantum ESPRESSO input:
```
&SYSTEM
  ibrav = 0, nat = 15, ntyp = 3
/
ATOMIC_SPECIES
Au 196.97 Au.upf
Ag 107.87 Ag.upf
Al 26.98 Al.upf
CELL_PARAMETERS angstrom
-6.5797 3.6783 -1.4653
-6.5969 -3.9166 -0.3313
-5.1699 0.7573 4.9938
ATOMIC_POSITIONS crystal
Au 0.1404 0.4324 0.6117
Au 0.4324 0.8155 0.6117
Au 0.5676 0.1845 0.3883
Au 0.8596 0.5676 0.3883
Au 0.2474 0.2474 0.2578
Au 0.1845 0.8596 0.3883
Au 0.7526 0.7526 0.7422
Au 0.8155 0.1404 0.6117
Ag 0.3265 0.6378 0.1117
Ag 0.3622 0.0759 0.8883
Ag 0.6378 0.9241 0.1117
Ag 0.6735 0.3622 0.8883
Ag 0.0759 0.6735 0.8883
Ag 0.9241 0.3265 0.1117
Al 0.0000 0.0000 0.0000
```

Summary:
As for the theoretical density: 12.816 g/cm³. The value obtained for the formation energy is 5 kJ/mol of atoms. The calculated total energy comes out at -46.3 eV per cell. The crystal system is trigonal. The calculation puts the density of states at the Fermi level at 0.16 states/eV per atom. Its symmetry is R-3 (148).



[10]
## MnGaCoH2 (PBE)

Data for a geometry-optimized MnGaCoH2 structure. Values from VASP.

Geometry as Quantum ESPRESSO input:
```
&SYSTEM
  ibrav = 0, nat = 5, ntyp = 4
/
ATOMIC_SPECIES
H 1.01 H.upf
Mn 54.94 Mn.upf
Ga 69.72 Ga.upf
Co 58.93 Co.upf
CELL_PARAMETERS angstrom
-0.9729 0.4608 -3.2072
-3.9585 -2.2227 0.8814
-1.4536 2.9307 0.8620
ATOMIC_POSITIONS crystal
H 0.5000 0.0000 0.0000
H 0.0000 0.0000 0.5000
Mn 0.5000 0.5000 0.5000
Ga 0.0000 0.5000 0.0000
Co 0.0000 0.0000 0.0000
```

Summary:
As for the theoretical density: 5.823 g/cm³. The calculated total energy comes out at -23.8 eV per cell. The crystal system is tetragonal. The calculation puts the density of states at the Fermi level at 0.48 states/eV per atom. Its symmetry is P4/mmm (123).



[11]
## CaCrP2 (PBE)

Data for a geometry-optimized CaCrP2 structure. Values from VASP.

Geometry as Quantum ESPRESSO input:
```
&SYSTEM
  ibrav = 0, nat = 4, ntyp = 3
/
ATOMIC_SPECIES
P 30.97 P.upf
Cr 52.00 Cr.upf
Ca 40.08 Ca.upf
CELL_PARAMETERS angstrom
-3.3399 -2.8105 -2.0494
2.5484 -3.7381 1.6690
-2.3396 3.4774 2.3849
ATOMIC_POSITIONS crystal
P 0.4396 0.4396 0.0000
P 0.0604 0.0604 0.0000
Cr 0.2500 0.7500 0.5000
Ca 0.7500 0.2500 0.5000
```

Summary:
As for the theoretical density: 3.323 g/cm³. The value obtained for the formation energy is -37 kJ/mol of atoms. The calculated total energy comes out at -24.0 eV per cell. The calculation puts the distance to the lowest polymorph of the same formula at 254 meV per atom. The crystal system is orthorhombic. The calculation puts the density of states at the Fermi level at 0.48 states/eV per atom. Its symmetry is Immm (71).



[12]
## Sm4Fe34C3 (PBE)

Data for a geometry-optimized Sm4Fe34C3 structure. Values from VASP.

Geometry as Quantum ESPRESSO input:
```
&SYSTEM
  ibrav = 0, nat = 41, ntyp = 3
/
ATOMIC_SPECIES
Fe 55.84 Fe.upf
Sm 150.36 Sm.upf
C 12.01 C.upf
CELL_PARAMETERS angstrom
-5.5351 1.0414 -3.2179
-2.6369 -5.7894 1.2489
-6.8815 3.8193 10.2848
ATOMIC_POSITIONS crystal
Fe 0.6589 0.6571 0.0720
Fe 0.7136 0.2853 0.5012
Fe 0.9977 0.2871 0.8564
Fe 0.2856 0.7142 0.5001
Fe 0.7156 0.0010 0.6430
Fe 0.3428 0.8516 0.6723
Fe 0.3422 0.3423 0.9250
Fe 0.1483 0.6570 0.8275
Fe 0.5010 0.9987 0.9985
Fe 0.0023 0.7129 0.6436
Fe 0.4990 0.0013 0.5015
Fe 0.9995 0.4986 0.5010
Fe 0.0000 0.0000 0.2500
Fe 0.6572 0.1484 0.8277
Fe 0.9989 0.7221 0.1391
Fe 0.9031 0.9014 0.4532
Fe 0.3407 0.8547 0.1710
Fe 0.7135 0.0027 0.1421
Fe 0.0000 0.0000 0.7500
Fe 0.2844 0.9990 0.8570
Fe 0.6593 0.1453 0.3290
Fe 0.1441 0.6555 0.3284
Fe 0.0005 0.5014 0.9990
Fe 0.9046 0.9054 0.9499
Fe 0.2865 0.9973 0.3579
Fe 0.3411 0.3429 0.4280
Fe 0.0954 0.0946 0.5501
Fe 0.8559 0.3445 0.1716
Fe 0.2864 0.7147 0.9988
Fe 0.7144 0.2858 0.9999
Fe 0.6578 0.6577 0.5750
Fe 0.0969 0.0986 0.0468
Fe 0.0011 0.2779 0.3609
Fe 0.8517 0.3430 0.6725
Sm 0.3343 0.3499 0.1740
Sm 0.3388 0.3381 0.6766
Sm 0.6657 0.6501 0.3260
Sm 0.6612 0.6619 0.8234
C 0.5000 0.0000 0.2500
C 0.5004 0.5000 0.5017
C 0.4996 0.5000 0.9983
```

Summary:
As for the theoretical density: 7.859 g/cm³. The value obtained for the formation energy is -2 kJ/mol of atoms. The calculated total energy comes out at -335.3 eV per cell. The crystal system is triclinic. The calculation puts the density of states at the Fermi level at 0.80 states/eV per atom. Its symmetry is P-1 (2).